Record 1
# Rb2HfHgI6 | the Alexandria database | PBE-GGA | relaxed
# formation energy from raw total energies	-10.0	eV/f.u.
# density of states at the Fermi level	0.000	states/eV/cell
# uncorrected energy	-3.15	eV/atom
data_Rb2HfHgI6
_chemical_formula_sum 'Rb8 Hf4 Hg4 I24'
_cell_length_a 12.708
_cell_length_b 12.708
_cell_length_c 12.708
_cell_angle_alpha 90.00
_cell_angle_beta 90.00
_cell_angle_gamma 90.00
_space_group_name_H-M_alt 'F m -3 m'
_space_group_IT_number 225
_space_group_name_Hall '-F 4 2 3'
loop_
_atom_site_label
_atom_site_type_symbol
_atom_site_fract_x
_atom_site_fract_y
_atom_site_fract_z
Rb1 Rb 0.250 0.250 0.250
Hf1 Hf 0.000 0.000 0.000
Hg1 Hg 0.000 0.000 0.500
I1 I 0.000 0.000 0.225

Record 2
# LaHoI6 | the Alexandria database | PBE-GGA | relaxed
# formation energy from raw total energies	-11.1	eV/f.u.
# density of states at the Fermi level	0.000	states/eV/cell
# uncorrected energy	-3.74	eV/atom
data_LaHoI6
_chemical_formula_sum 'La3 Ho3 I18'
_cell_length_a 7.7540
_cell_length_b 7.7540
_cell_length_c 21.1257
_cell_angle_alpha 90.00
_cell_angle_beta 90.00
_cell_angle_gamma 120.00
_space_group_name_H-M_alt 'R -3'
_space_group_IT_number 148
_space_group_name_Hall '-R 3'
loop_
_atom_site_label
_atom_site_type_symbol
_atom_site_fract_x
_atom_site_fract_y
_atom_site_fract_z
La1 La 0.0000 0.0000 0.0000
Ho1 Ho 0.0000 0.0000 0.5000
I1 I 0.9998 0.3223 0.5813

Record 3
# La4Al3Tl | the Alexandria database | PBE-GGA | relaxed
# calculated formation energy	-8.26	kcal/mol of atoms
# density of states at the Fermi level	12.600	states/eV/cell
# uncorrected energy	-4.52	eV/atom
data_La4Al3Tl
_chemical_formula_sum 'La12 Al9 Tl3'
_cell_length_a 5.4471
_cell_length_b 5.4471
_cell_length_c 26.6952
_cell_angle_alpha 90.00
_cell_angle_beta 90.00
_cell_angle_gamma 120.00
_space_group_name_H-M_alt 'R -3 m'
_space_group_IT_number 166
_space_group_name_Hall '-R 3 2"'
loop_
_atom_site_label
_atom_site_type_symbol
_atom_site_fract_x
_atom_site_fract_y
_atom_site_fract_z
La1 La 0.0000 0.0000 0.1217
La2 La 0.0000 0.0000 0.3719
Al1 Al 0.0000 0.0000 0.0000
Al2 Al 0.0000 0.0000 0.2487
Tl1 Tl 0.0000 0.0000 0.5000

Record 4
# Zr2BiAu | the Alexandria database | PBE-GGA | relaxed
# calculated formation energy	-7.57	kcal/mol of atoms
# density of states at the Fermi level	2.837	states/eV/cell
# uncorrected energy	-6.39	eV/atom
data_Zr2BiAu
_chemical_formula_sum 'Zr2 Bi1 Au1'
_cell_length_a 3.755
_cell_length_b 3.755
_cell_length_c 6.340
_cell_angle_alpha 90.00
_cell_angle_beta 90.00
_cell_angle_gamma 90.00
_space_group_name_H-M_alt 'P 4/m m m'
_space_group_IT_number 123
_space_group_name_Hall '-P 4 2'
loop_
_atom_site_label
_atom_site_type_symbol
_atom_site_fract_x
_atom_site_fract_y
_atom_site_fract_z
Zr1 Zr 0.000 0.000 0.240
Bi1 Bi 0.500 0.500 0.500
Au1 Au 0.500 0.500 0.000

Record 5
# Sr2TcAu | the Alexandria database | PBE-GGA | relaxed
# calculated formation energy	13.54	kcal/mol of atoms
# density of states at the Fermi level	20.542	states/eV/cell
# uncorrected energy	-3.66	eV/atom
data_Sr2TcAu
_chemical_formula_sum 'Sr8 Tc4 Au4'
_cell_length_a 8.369
_cell_length_b 8.369
_cell_length_c 6.420
_cell_angle_alpha 90.00
_cell_angle_beta 90.00
_cell_angle_gamma 90.00
_space_group_name_H-M_alt 'I -4 2 d'
_space_group_IT_number 122
_space_group_name_Hall 'I -4 2bw'
loop_
_atom_site_label
_atom_site_type_symbol
_atom_site_fract_x
_atom_site_fract_y
_atom_site_fract_z
Sr1 Sr 0.244 0.750 0.125
Tc1 Tc 0.000 0.000 0.500
Au1 Au 0.000 0.000 0.000

Record 6
# Pt2RhBr | the Alexandria database | PBE-GGA | relaxed
# formation energy from raw total energies	1.7	eV/f.u.
# density of states at the Fermi level	4.931	states/eV/cell
# uncorrected energy	-4.85	eV/atom
data_Pt2RhBr
_chemical_formula_sum 'Pt2 Rh1 Br1'
_cell_length_a 3.135
_cell_length_b 3.135
_cell_length_c 7.011
_cell_angle_alpha 90.00
_cell_angle_beta 90.00
_cell_angle_gamma 90.00
_space_group_name_H-M_alt 'P 4 m m'
_space_group_IT_number 99
loop_
_space_group_symop_operation_xyz
'x,y,z'
'-y,x,z'
'-x,-y,z'
'y,-x,z'
'-x,y,z'
'y,x,z'
'x,-y,z'
'-y,-x,z'
loop_
_atom_site_label
_atom_site_type_symbol
_atom_site_fract_x
_atom_site_fract_y
_atom_site_fract_z
Pt1 Pt 0.000 0.000 0.000
Pt2 Pt 0.500 0.500 0.224
Rh1 Rh 0.000 0.000 0.441
Br1 Br 0.500 0.500 0.697

Record 7
# InFe2PdPt | the Alexandria database | PBE-GGA | relaxed
# calculated formation energy	34.04	kcal/mol of atoms
# density of states at the Fermi level	9.486	states/eV/cell
# uncorrected energy	-4.70	eV/atom
data_InFe2PdPt
_chemical_formula_sum 'In1 Fe2 Pd1 Pt1'
_cell_length_a 4.720
_cell_length_b 4.720
_cell_length_c 4.796
_cell_angle_alpha 90.00
_cell_angle_beta 90.00
_cell_angle_gamma 90.00
_space_group_name_H-M_alt 'P 4/m m m'
_space_group_IT_number 123
_space_group_name_Hall '-P 4 2'
loop_
_atom_site_label
_atom_site_type_symbol
_atom_site_fract_x
_atom_site_fract_y
_atom_site_fract_z
In1 In 0.000 0.000 0.000
Fe1 Fe 0.000 0.500 0.000
Pd1 Pd 0.000 0.000 0.500
Pt1 Pt 0.500 0.500 0.500

Record 8
# Zr2InGa2 | the Alexandria database | PBE-GGA | relaxed
# calculated formation energy	-10.99	kcal/mol of atoms
# density of states at the Fermi level	3.429	states/eV/cell
# uncorrected energy	-5.65	eV/atom
data_Zr2InGa2
_chemical_formula_sum 'Zr4 In2 Ga4'
_cell_length_a 7.017
_cell_length_b 7.017
_cell_length_c 3.999
_cell_angle_alpha 90.00
_cell_angle_beta 90.00
_cell_angle_gamma 90.00
_space_group_name_H-M_alt 'P 4/m b m'
_space_group_IT_number 127
_space_group_name_Hall '-P 4 2ab'
loop_
_atom_site_label
_atom_site_type_symbol
_atom_site_fract_x
_atom_site_fract_y
_atom_site_fract_z
Zr1 Zr 0.176 0.324 0.000
In1 In 0.000 0.000 0.500
Ga1 Ga 0.124 0.624 0.500

Record 9
# Th6P2PtS3 | the Alexandria database | PBE-GGA | relaxed
# formation energy from raw total energies	-19.4	eV/f.u.
# density of states at the Fermi level	18.772	states/eV/cell
# uncorrected energy	-7.76	eV/atom
data_Th6P2PtS3
_chemical_formula_sum 'Th12 P4 Pt2 S6'
_cell_length_a 17.928
_cell_length_b 4.092
_cell_length_c 8.279
_cell_angle_alpha 90.00
_cell_angle_beta 102.39
_cell_angle_gamma 90.00
_space_group_name_H-M_alt 'C 1 2/m 1'
_space_group_IT_number 12
loop_
_space_group_symop_operation_xyz
'x,y,z'
'-x,-y,-z'
'-x,y,-z'
'x,-y,z'
'x+1/2,y+1/2,z'
'-x+1/2,-y+1/2,-z'
'-x+1/2,y+1/2,-z'
'x+1/2,-y+1/2,z'
loop_
_atom_site_label
_atom_site_type_symbol
_atom_site_fract_x
_atom_site_fract_y
_atom_site_fract_z
Th1 Th 0.002 0.000 0.250
Th2 Th 0.167 0.500 0.581
Th3 Th 0.169 0.500 0.085
P1 P 0.168 0.000 0.334
Pt1 Pt 0.000 0.500 0.000
S1 S 0.000 0.500 0.500
S2 S 0.166 0.000 0.832

Record 10
# Tc2AsBr | the Alexandria database | PBE-GGA | relaxed
# formation energy from raw total energies	2.2	eV/f.u.
# density of states at the Fermi level	6.019	states/eV/cell
# uncorrected energy	-6.21	eV/atom
data_Tc2AsBr
_chemical_formula_sum 'Tc4 As2 Br2'
_cell_length_a 3.068
_cell_length_b 4.105
_cell_length_c 10.524
_cell_angle_alpha 90.00
_cell_angle_beta 90.00
_cell_angle_gamma 90.00
_space_group_name_H-M_alt 'I m m 2'
_space_group_IT_number 44
loop_
_space_group_symop_operation_xyz
'x,y,z'
'-x,-y,z'
'-x,y,z'
'x,-y,z'
'x+1/2,y+1/2,z+1/2'
'-x+1/2,-y+1/2,z+1/2'
'-x+1/2,y+1/2,z+1/2'
'x+1/2,-y+1/2,z+1/2'
loop_
_atom_site_label
_atom_site_type_symbol
_atom_site_fract_x
_atom_site_fract_y
_atom_site_fract_z
Tc1 Tc 0.000 0.000 0.000
Tc2 Tc 0.000 0.500 0.258
As1 As 0.000 0.500 0.692
Br1 Br 0.000 0.000 0.454

Record 11
# PrScRuRh | the Alexandria database | PBE-GGA | relaxed
# calculated formation energy	-10.90	kcal/mol of atoms
# density of states at the Fermi level	11.986	states/eV/cell
# uncorrected energy	-7.41	eV/atom
data_PrScRuRh
_chemical_formula_sum 'Pr4 Sc4 Ru4 Rh4'
_cell_length_a 6.783
_cell_length_b 6.783
_cell_length_c 6.783
_cell_angle_alpha 90.00
_cell_angle_beta 90.00
_cell_angle_gamma 90.00
_space_group_name_H-M_alt 'F -4 3 m'
_space_group_IT_number 216
_space_group_name_Hall 'F -4 2 3'
loop_
_atom_site_label
_atom_site_type_symbol
_atom_site_fract_x
_atom_site_fract_y
_atom_site_fract_z
Pr1 Pr 0.000 0.000 0.000
Sc1 Sc 0.000 0.000 0.500
Ru1 Ru 0.250 0.250 0.250
Rh1 Rh 0.250 0.250 0.750

Record 12
# YZnNi4Ge2 | the Alexandria database | PBE-GGA | relaxed
# calculated formation energy	-9.27	kcal/mol of atoms
# density of states at the Fermi level	13.992	states/eV/cell
# uncorrected energy	-5.41	eV/atom
data_YZnNi4Ge2
_chemical_formula_sum 'Y3 Zn3 Ni12 Ge6'
_cell_length_a 4.0384
_cell_length_b 4.0384
_cell_length_c 24.7485
_cell_angle_alpha 90.00
_cell_angle_beta 90.00
_cell_angle_gamma 120.00
_space_group_name_H-M_alt 'R -3 m'
_space_group_IT_number 166
_space_group_name_Hall '-R 3 2"'
loop_
_atom_site_label
_atom_site_type_symbol
_atom_site_fract_x
_atom_site_fract_y
_atom_site_fract_z
Y1 Y 0.0000 0.0000 0.0000
Zn1 Zn 0.0000 0.0000 0.5000
Ni1 Ni 0.0000 0.0000 0.1323
Ni2 Ni 0.0000 0.0000 0.4053
Ge1 Ge 0.0000 0.0000 0.2448

Record 13
# Ti2HgPd2 | the Alexandria database | PBE-GGA | relaxed
# calculated formation energy	-6.20	kcal/mol of atoms
# density of states at the Fermi level	10.273	states/eV/cell
# uncorrected energy	-5.56	eV/atom
data_Ti2HgPd2
_chemical_formula_sum 'Ti4 Hg2 Pd4'
_cell_length_a 7.752
_cell_length_b 7.752
_cell_length_c 2.920
_cell_angle_alpha 90.00
_cell_angle_beta 90.00
_cell_angle_gamma 90.00
_space_group_name_H-M_alt 'P 4/m b m'
_space_group_IT_number 127
_space_group_name_Hall '-P 4 2ab'
loop_
_atom_site_label
_atom_site_type_symbol
_atom_site_fract_x
_atom_site_fract_y
_atom_site_fract_z
Ti1 Ti 0.158 0.342 0.000
Hg1 Hg 0.000 0.000 0.000
Pd1 Pd 0.133 0.633 0.500

Record 14
# LiCr2CdHg | the Alexandria database | PBE-GGA | relaxed
# calculated formation energy	22.58	kcal/mol of atoms
# density of states at the Fermi level	2.896	states/eV/cell
# uncorrected energy	-3.50	eV/atom
data_LiCr2CdHg
_chemical_formula_sum 'Li1 Cr2 Cd1 Hg1'
_cell_length_a 5.248
_cell_length_b 5.248
_cell_length_c 5.310
_cell_angle_alpha 90.00
_cell_angle_beta 90.00
_cell_angle_gamma 90.00
_space_group_name_H-M_alt 'P 4/m m m'
_space_group_IT_number 123
_space_group_name_Hall '-P 4 2'
loop_
_atom_site_label
_atom_site_type_symbol
_atom_site_fract_x
_atom_site_fract_y
_atom_site_fract_z
Li1 Li 0.000 0.000 0.000
Cr1 Cr 0.000 0.500 0.500
Cd1 Cd 0.500 0.500 0.000
Hg1 Hg 0.500 0.500 0.500

Record 15
# SbTe2OsCl | the Alexandria database | PBE-GGA | relaxed
# formation energy from raw total energies	2.7	eV/f.u.
# density of states at the Fermi level	6.711	states/eV/cell
# uncorrected energy	-4.16	eV/atom
data_SbTe2OsCl
_chemical_formula_sum 'Sb1 Te2 Os1 Cl1'
_cell_length_a 5.281
_cell_length_b 5.281
_cell_length_c 5.184
_cell_angle_alpha 90.00
_cell_angle_beta 90.00
_cell_angle_gamma 90.00
_space_group_name_H-M_alt 'P 4/m m m'
_space_group_IT_number 123
_space_group_name_Hall '-P 4 2'
loop_
_atom_site_label
_atom_site_type_symbol
_atom_site_fract_x
_atom_site_fract_y
_atom_site_fract_z
Sb1 Sb 0.000 0.000 0.000
Te1 Te 0.000 0.500 0.500
Os1 Os 0.000 0.000 0.500
Cl1 Cl 0.500 0.500 0.000

Record 16
# Y2AlZnN | the Alexandria database | PBE-GGA | relaxed
# formation energy from raw total energies	-3.6	eV/f.u.
# density of states at the Fermi level	2.386	states/eV/cell
# uncorrected energy	-5.98	eV/atom
data_Y2AlZnN
_chemical_formula_sum 'Y2 Al1 Zn1 N1'
_cell_length_a 4.909
_cell_length_b 4.909
_cell_length_c 3.889
_cell_angle_alpha 90.00
_cell_angle_beta 90.00
_cell_angle_gamma 90.00
_space_group_name_H-M_alt 'P 4/m m m'
_space_group_IT_number 123
_space_group_name_Hall '-P 4 2'
loop_
_atom_site_label
_atom_site_type_symbol
_atom_site_fract_x
_atom_site_fract_y
_atom_site_fract_z
Y1 Y 0.000 0.500 0.000
Al1 Al 0.000 0.000 0.500
Zn1 Zn 0.500 0.500 0.500
N1 N 0.000 0.000 0.000

Record 17
# K3YSi | the Alexandria database | PBE-GGA | relaxed
# formation energy from raw total energies	7.2	eV/f.u.
# density of states at the Fermi level	13.349	states/eV/cell
# uncorrected energy	-1.59	eV/atom
data_K3YSi
_chemical_formula_sum 'K3 Y1 Si1'
_cell_length_a 6.787
_cell_length_b 6.787
_cell_length_c 6.787
_cell_angle_alpha 90.00
_cell_angle_beta 90.00
_cell_angle_gamma 90.00
_space_group_name_H-M_alt 'P m -3 m'
_space_group_IT_number 221
_space_group_name_Hall '-P 4 2 3'
loop_
_atom_site_label
_atom_site_type_symbol
_atom_site_fract_x
_atom_site_fract_y
_atom_site_fract_z
K1 K 0.000 0.000 0.500
Y1 Y 0.000 0.000 0.000
Si1 Si 0.500 0.500 0.500

Record 18
# PuTa5 | the Alexandria database | PBE-GGA | relaxed
# calculated formation energy	4.03	kcal/mol of atoms
# density of states at the Fermi level	18.849	states/eV/cell
# uncorrected energy	-12.09	eV/atom
data_PuTa5
_chemical_formula_sum 'Pu2 Ta10'
_cell_length_a 4.780
_cell_length_b 14.293
_cell_length_c 3.303
_cell_angle_alpha 90.00
_cell_angle_beta 90.00
_cell_angle_gamma 90.00
_space_group_name_H-M_alt 'C m m m'
_space_group_IT_number 65
_space_group_name_Hall '-C 2 2'
loop_
_atom_site_label
_atom_site_type_symbol
_atom_site_fract_x
_atom_site_fract_y
_atom_site_fract_z
Pu1 Pu 0.000 0.000 0.000
Ta1 Ta 0.000 0.167 0.500
Ta2 Ta 0.000 0.329 0.000
Ta3 Ta 0.000 0.500 0.500

Record 19
# PrCd2Au7 | the Alexandria database | PBE-GGA | relaxed
# calculated formation energy	-5.49	kcal/mol of atoms
# density of states at the Fermi level	8.302	states/eV/cell
# uncorrected energy	-3.19	eV/atom
data_PrCd2Au7
_chemical_formula_sum 'Pr2 Cd4 Au14'
_cell_length_a 6.773
_cell_length_b 16.869
_cell_length_c 4.130
_cell_angle_alpha 90.00
_cell_angle_beta 90.00
_cell_angle_gamma 90.00
_space_group_name_H-M_alt 'C m m m'
_space_group_IT_number 65
_space_group_name_Hall '-C 2 2'
loop_
_atom_site_label
_atom_site_type_symbol
_atom_site_fract_x
_atom_site_fract_y
_atom_site_fract_z
Pr1 Pr 0.000 0.000 0.000
Cd1 Cd 0.000 0.260 0.500
Au1 Au 0.000 0.382 0.000
Au2 Au 0.000 0.500 0.500
Au3 Au 0.203 0.115 0.500

Record 20
# CeEr3Tm3Se8 | the Alexandria database | PBE-GGA | relaxed
# formation energy from raw total energies	-26.4	eV/f.u.
# density of states at the Fermi level	38.768	states/eV/cell
# uncorrected energy	-5.82	eV/atom
data_CeEr3Tm3Se8
_chemical_formula_sum 'Ce3 Er9 Tm9 Se24'
_cell_length_a 8.0571
_cell_length_b 8.0571
_cell_length_c 19.7082
_cell_angle_alpha 90.00
_cell_angle_beta 90.00
_cell_angle_gamma 120.00
_space_group_name_H-M_alt 'R -3 m'
_space_group_IT_number 166
_space_group_name_Hall '-R 3 2"'
loop_
_atom_site_label
_atom_site_type_symbol
_atom_site_fract_x
_atom_site_fract_y
_atom_site_fract_z
Ce1 Ce 0.0000 0.0000 0.0000
Er1 Er 0.0000 0.5000 0.5000
Tm1 Tm 0.0000 0.5000 0.0000
Se1 Se 0.0000 0.0000 0.2506
Se2 Se 0.0160 0.5080 0.2467